Entry 1:
Compound: Cd6RhAu2
Source: Alexandria via LeMat-Bulk
Functional: PBE-GGA
Structure: optimized geometry

Lattice parameters (Å, degrees): 7.936 7.936 4.616 106.51 106.51 49.51
Fractional coordinates of all 9 atoms:
Cd 0.085 0.595 0.341
Cd 0.230 0.770 0.000
Cd 0.405 0.915 0.659
Cd 0.595 0.085 0.341
Cd 0.770 0.230 0.000
Cd 0.915 0.405 0.659
Rh 0.000 0.000 0.500
Au 0.333 0.333 0.835
Au 0.667 0.667 0.165

Calculated values
Energy relative to the lowest polymorph listed for this composition in kJ/mol of formula units: 0
E_form in meV per atom: -103

***

Entry 2:
Compound: CuAsS4
Source: Alexandria via LeMat-Bulk
Functional: PBE-GGA
Structure: optimized geometry

Lattice parameters (Å, degrees): 7.299 7.299 5.863 112.14 112.14 26.75
Fractional coordinates of all 6 atoms:
Cu 0.000 0.000 0.000
As 0.500 0.500 0.500
S 0.115 0.115 0.468
S 0.403 0.403 0.064
S 0.597 0.597 0.936
S 0.885 0.885 0.532

Calculated values
Formation energy (no corrections) in kcal/mol of atoms: 2.9

***

Entry 3:
Compound: SbSeI2O
Source: Alexandria via LeMat-Bulk
Functional: PBE-GGA
Structure: optimized geometry

Lattice parameters (Å, degrees): 5.453 5.453 5.825 90.00 90.00 90.00
Fractional coordinates of all 5 atoms:
Sb 0.000 0.000 0.000
Se 0.000 0.000 0.500
I 0.000 0.500 0.500
I 0.500 0.000 0.500
O 0.500 0.500 0.000

Calculated values
Energy relative to the lowest polymorph listed for this composition in kJ/mol of formula units: 455
Formation energy (no corrections) in kcal/mol of atoms: 23.8

***

Entry 4:
Compound: K3Tb3NpTe8
Source: Alexandria via LeMat-Bulk
Functional: PBE-GGA
Structure: optimized geometry

Lattice parameters (Å, degrees): 9.836 9.836 9.836 54.00 54.00 54.00
Fractional coordinates of all 15 atoms:
K 0.000 0.500 0.500
K 0.500 0.000 0.500
K 0.500 0.500 0.000
Tb 0.000 0.000 0.500
Tb 0.000 0.500 0.000
Tb 0.500 0.000 0.000
Np 0.500 0.500 0.500
Te 0.236 0.236 0.236
Te 0.237 0.734 0.734
Te 0.266 0.266 0.763
Te 0.266 0.763 0.266
Te 0.734 0.237 0.734
Te 0.734 0.734 0.237
Te 0.763 0.266 0.266
Te 0.764 0.764 0.764

Calculated values
Formation energy (no corrections) in kcal/mol of atoms: -28.4

***

Entry 5:
Compound: Ta2NbVN
Source: Alexandria via LeMat-Bulk
Functional: PBE-GGA
Structure: optimized geometry

Lattice parameters (Å, degrees): 4.436 4.436 3.766 90.00 90.00 90.00
Fractional coordinates of all 5 atoms:
Ta 0.000 0.500 0.000
Ta 0.500 0.000 0.000
Nb 0.000 0.000 0.500
V 0.500 0.500 0.500
N 0.500 0.500 0.000

Calculated values
Formation energy (no corrections) in kcal/mol of atoms: -12.0

***

Entry 6:
Compound: Mg2POs2
Source: Alexandria via LeMat-Bulk
Functional: PBE-GGA
Structure: optimized geometry

Lattice parameters (Å, degrees): 8.221 8.221 8.221 155.61 155.61 34.76
Fractional coordinates of all 5 atoms:
Mg 0.100 0.100 0.000
Mg 0.900 0.900 0.000
P 0.500 0.500 0.000
Os 0.250 0.750 0.500
Os 0.750 0.250 0.500

Calculated values
Energy relative to the lowest polymorph listed for this composition in kJ/mol of formula units: 278
E_form in meV per atom: 390

***

Entry 7:
Compound: K4SeI2
Source: Alexandria via LeMat-Bulk
Functional: PBE-GGA
Structure: optimized geometry

Lattice parameters (Å, degrees): 8.875 8.875 5.060 90.00 90.00 109.75
Fractional coordinates of all 7 atoms:
K 0.189 0.189 0.500
K 0.216 0.784 0.000
K 0.784 0.216 0.000
K 0.811 0.811 0.500
Se 0.000 0.000 0.000
I 0.000 0.500 0.500
I 0.500 0.000 0.500

Calculated values
Energy relative to the lowest polymorph listed for this composition in kJ/mol of formula units: 0
Formation energy (no corrections) in kcal/mol of atoms: -29.2

***

Entry 8:
Compound: Li2CaRh
Source: Alexandria via LeMat-Bulk
Functional: PBE-GGA
Structure: optimized geometry

Lattice parameters (Å, degrees): 3.483 3.518 5.919 90.00 90.00 90.00
Fractional coordinates of all 4 atoms:
Li 0.000 0.000 0.184
Li 0.000 0.000 0.816
Ca 0.500 0.500 0.500
Rh 0.500 0.500 0.000

Calculated values
Energy relative to the lowest polymorph listed for this composition in kJ/mol of formula units: 69
E_form in meV per atom: -17

***

Entry 9:
Compound: HgSbPt2
Source: Alexandria via LeMat-Bulk
Functional: PBE-GGA
Structure: optimized geometry

Lattice parameters (Å, degrees): 5.110 5.110 4.624 104.31 104.31 41.65
Fractional coordinates of all 4 atoms:
Hg 0.000 0.000 0.000
Sb 0.765 0.765 0.355
Pt 0.251 0.251 0.804
Pt 0.495 0.495 0.499

Calculated values
Formation energy (no corrections) in kcal/mol of atoms: -0.8

***

Entry 10:
Compound: Cs2RbAg
Source: Alexandria via LeMat-Bulk
Functional: PBE-GGA
Structure: optimized geometry

Lattice parameters (Å, degrees): 14.231 14.231 14.231 21.06 21.06 21.06
Fractional coordinates of all 4 atoms:
Cs 0.114 0.114 0.114
Cs 0.886 0.886 0.886
Rb 0.000 0.000 0.000
Ag 0.500 0.500 0.500

Calculated values
Energy relative to the lowest polymorph listed for this composition in kJ/mol of formula units: 12
E_form in meV per atom: 61

***

Entry 11:
Compound: TaAlBr
Source: Alexandria via LeMat-Bulk
Functional: PBE-GGA
Structure: optimized geometry

Lattice parameters (Å, degrees): 3.855 4.057 9.589 90.00 90.00 90.00
Fractional coordinates of all 6 atoms:
Ta 0.000 0.000 0.000
Ta 0.500 0.000 0.212
Al 0.000 0.500 0.195
Al 0.500 0.500 0.007
Br 0.000 0.000 0.739
Br 0.500 0.500 0.425

Calculated values
Energy relative to the lowest polymorph listed for this composition in kJ/mol of formula units: 15
Formation energy (no corrections) in kcal/mol of atoms: -4.5

***

Entry 12:
Compound: TaTl4Pb3Se8
Source: Alexandria via LeMat-Bulk
Functional: PBE-GGA
Structure: optimized geometry

Lattice parameters (Å, degrees): 8.887 8.887 8.887 57.62 57.62 57.62
Fractional coordinates of all 16 atoms:
Ta 0.000 0.000 0.000
Tl 0.000 0.000 0.500
Tl 0.000 0.500 0.000
Tl 0.500 0.000 0.000
Tl 0.500 0.500 0.500
Pb 0.000 0.500 0.500
Pb 0.500 0.000 0.500
Pb 0.500 0.500 0.000
Se 0.214 0.214 0.779
Se 0.214 0.779 0.214
Se 0.221 0.786 0.786
Se 0.254 0.254 0.254
Se 0.746 0.746 0.746
Se 0.779 0.214 0.214
Se 0.786 0.221 0.786
Se 0.786 0.786 0.221

Calculated values
Formation energy (no corrections) in kcal/mol of atoms: -11.6

***

Entry 13:
Compound: Dy2Er4Th5
Source: Alexandria via LeMat-Bulk
Functional: PBE-GGA
Structure: optimized geometry

Lattice parameters (Å, degrees): 8.762 3.465 11.593 90.00 94.55 90.00
Fractional coordinates of all 11 atoms:
Dy 0.057 0.000 0.136
Dy 0.943 0.000 0.864
Er 0.160 0.500 0.400
Er 0.294 0.500 0.946
Er 0.706 0.500 0.054
Er 0.840 0.500 0.600
Th 0.201 0.000 0.672
Th 0.427 0.000 0.209
Th 0.500 0.000 0.500
Th 0.573 0.000 0.791
Th 0.799 0.000 0.328

Calculated values
E_form in meV per atom: 125

***

Entry 14:
Compound: CuNi9Mo2
Source: Alexandria via LeMat-Bulk
Functional: PBE-GGA
Structure: optimized geometry

Lattice parameters (Å, degrees): 8.249 8.249 8.249 32.83 32.83 32.83
Fractional coordinates of all 12 atoms:
Cu 0.000 0.000 0.000
Ni 0.081 0.589 0.586
Ni 0.333 0.333 0.333
Ni 0.411 0.414 0.919
Ni 0.414 0.919 0.411
Ni 0.500 0.500 0.500
Ni 0.586 0.081 0.589
Ni 0.589 0.586 0.081
Ni 0.667 0.667 0.667
Ni 0.919 0.411 0.414
Mo 0.145 0.145 0.145
Mo 0.855 0.855 0.855

Calculated values
E_form in meV per atom: 147

***

Entry 15:
Compound: Ti2ZnN
Source: Alexandria via LeMat-Bulk
Functional: PBE-GGA
Structure: optimized geometry

Lattice parameters (Å, degrees): 8.286 8.286 4.180 90.00 90.00 159.03
Fractional coordinates of all 8 atoms:
Ti 0.112 0.888 0.750
Ti 0.288 0.712 0.750
Ti 0.712 0.288 0.250
Ti 0.888 0.112 0.250
Zn 0.459 0.541 0.750
Zn 0.541 0.459 0.250
N 0.301 0.699 0.250
N 0.699 0.301 0.750

Calculated values
Energy relative to the lowest polymorph listed for this composition in kJ/mol of formula units: 0
Formation energy (no corrections) in kcal/mol of atoms: -24.5

***

Entry 16:
Compound: Tb2Er6Zr
Source: Alexandria via LeMat-Bulk
Functional: PBE-GGA
Structure: optimized geometry

Lattice parameters (Å, degrees): 9.911 9.911 5.886 96.30 96.30 70.04
Fractional coordinates of all 18 atoms:
Tb 0.072 0.274 0.064
Tb 0.274 0.072 0.564
Tb 0.726 0.928 0.436
Tb 0.928 0.726 0.936
Er 0.088 0.812 0.488
Er 0.154 0.440 0.644
Er 0.188 0.912 0.012
Er 0.274 0.514 0.185
Er 0.440 0.154 0.144
Er 0.486 0.726 0.315
Er 0.514 0.274 0.685
Er 0.560 0.846 0.856
Er 0.726 0.486 0.815
Er 0.812 0.088 0.988
Er 0.846 0.560 0.356
Er 0.912 0.188 0.512
Zr 0.389 0.611 0.750
Zr 0.611 0.389 0.250

Calculated values
E_form in meV per atom: 119

***

Entry 17:
Compound: Ti2VRh7
Source: Alexandria via LeMat-Bulk
Functional: PBE-GGA
Structure: optimized geometry

Lattice parameters (Å, degrees): 8.378 8.378 2.800 90.00 90.00 123.63
Fractional coordinates of all 10 atoms:
Ti 0.168 0.832 0.000
Ti 0.832 0.168 0.000
V 0.500 0.500 0.500
Rh 0.000 0.000 0.000
Rh 0.196 0.383 0.000
Rh 0.303 0.697 0.500
Rh 0.383 0.196 0.000
Rh 0.617 0.804 0.000
Rh 0.697 0.303 0.500
Rh 0.804 0.617 0.000

Calculated values
E_form in meV per atom: 63

***

Entry 18:
Compound: KDy4Te6
Source: Alexandria via LeMat-Bulk
Functional: PBE-GGA
Structure: optimized geometry

Lattice parameters (Å, degrees): 7.615 7.615 23.146 90.00 90.00 146.27
Fractional coordinates of all 22 atoms:
K 0.161 0.839 0.750
K 0.839 0.161 0.250
Dy 0.092 0.908 0.131
Dy 0.092 0.908 0.369
Dy 0.365 0.635 0.040
Dy 0.365 0.635 0.460
Dy 0.635 0.365 0.540
Dy 0.635 0.365 0.960
Dy 0.908 0.092 0.631
Dy 0.908 0.092 0.869
Te 0.000 0.000 0.000
Te 0.000 0.000 0.500
Te 0.157 0.843 0.250
Te 0.272 0.728 0.582
Te 0.272 0.728 0.918
Te 0.456 0.544 0.156
Te 0.456 0.544 0.344
Te 0.544 0.456 0.656
Te 0.544 0.456 0.844
Te 0.728 0.272 0.082
Te 0.728 0.272 0.418
Te 0.843 0.157 0.750

Calculated values
Formation energy (no corrections) in kcal/mol of atoms: -30.9

***

Entry 19:
Compound: SrCa3Hg
Source: Alexandria via LeMat-Bulk
Functional: PBE-GGA
Structure: optimized geometry

Lattice parameters (Å, degrees): 6.240 7.719 8.375 90.00 100.65 90.00
Fractional coordinates of all 10 atoms:
Sr 0.020 0.250 0.075
Sr 0.980 0.750 0.925
Ca 0.110 0.750 0.422
Ca 0.446 0.012 0.768
Ca 0.446 0.488 0.768
Ca 0.554 0.512 0.232
Ca 0.554 0.988 0.232
Ca 0.890 0.250 0.578
Hg 0.340 0.250 0.450
Hg 0.660 0.750 0.550

Calculated values
Energy relative to the lowest polymorph listed for this composition in kJ/mol of formula units: 14
E_form in meV per atom: -195

***

Entry 20:
Compound: PrNd4Th3Se8
Source: Alexandria via LeMat-Bulk
Functional: PBE-GGA
Structure: optimized geometry

Lattice parameters (Å, degrees): 8.492 8.492 8.492 59.26 59.26 59.26
Fractional coordinates of all 16 atoms:
Pr 0.000 0.000 0.000
Nd 0.000 0.000 0.500
Nd 0.000 0.500 0.000
Nd 0.500 0.000 0.000
Nd 0.500 0.500 0.500
Th 0.000 0.500 0.500
Th 0.500 0.000 0.500
Th 0.500 0.500 0.000
Se 0.250 0.250 0.250
Se 0.251 0.251 0.749
Se 0.251 0.749 0.251
Se 0.251 0.749 0.749
Se 0.749 0.251 0.251
Se 0.749 0.251 0.749
Se 0.749 0.749 0.251
Se 0.750 0.750 0.750

Calculated values
Formation energy (no corrections) in kcal/mol of atoms: -39.7